Computed, not measured: an optimized crystal structure of Ag2AsW at the PBE level of DFT.

For the total magnetic moment, the calculation gives 0.00 μB/atom. As for the density: 11.67 g/cm3. The value obtained for the total energy is -5.156 eV per atom. The volume is 135.0 Å³/cell.

The space group is C2 (No. 5) and the conventional cell measures 6.454, 6.441 and 4.575 Å, with angles of 90.00, 134.79 and 90.00 degrees. Symmetry generates all atoms from Ag at (0.000, 0.000, 0.000), Ag at (0.000, 0.250, 0.500), As at (0.000, 0.748, 0.500) and W at (0.000, 0.501, 0.000).